Compound: USe2O9
Source: the Alexandria database
Functional: PBE-GGA
Structure: optimized geometry

Results
density of states at the Fermi level = 0.0847 states/eV/atom
energy = -6.31 eV per atom
total magnetization = 1.48 μB per formula unit
formation energy from raw total energies = -1235.8 kJ/mol of formula units
symmetry = C2/c, No. 15

Cell lengths 8.7116, 8.7116, 6.1297 Å; angles 84.76, 84.76, 99.20 degrees
With the nearest neighbours (Å) after each atom.
Fractional coordinates of all 24 atoms:
O1 0.2181 0.4558 0.5011  1 Se 1.68
O2 0.5442 0.7819 0.9989  1 Se 1.68
O3 0.9354 0.2611 0.5596  1 Se 1.66
O4 0.4052 0.7947 0.4534  1 U 1.80
O5 0.7987 0.8530 0.3251  1 Se 1.73
O6 0.0646 0.7389 0.4404  1 Se 1.66
O7 0.7389 0.0646 0.9404  1 Se 1.66
O8 0.2611 0.9354 0.0596  1 Se 1.66
O9 0.7819 0.5442 0.4989  1 Se 1.68
O10 0.4558 0.2181 0.0011  1 Se 1.68
O11 0.5202 0.4798 0.7500  1 U 2.27
O12 0.8530 0.7987 0.8251  1 Se 1.73
O13 0.7947 0.4052 0.9534  1 U 1.80
O14 0.4798 0.5202 0.2500  1 U 2.27
O15 0.2013 0.1470 0.6749  1 Se 1.73
O16 0.5948 0.2053 0.5466  1 U 1.80
O17 0.2053 0.5948 0.0466  1 U 1.80
O18 0.1470 0.2013 0.1749  1 Se 1.73
U1 0.6911 0.3089 0.7500  2 O 1.80
U2 0.3089 0.6911 0.2500  2 O 1.80
Se1 0.7280 0.8740 0.0053  3 O 1.66-1.73
Se2 0.1260 0.2720 0.4947  3 O 1.66-1.73
Se3 0.8740 0.7280 0.5053  3 O 1.66-1.73
Se4 0.2720 0.1260 0.9947  3 O 1.66-1.73


Compound: Tb6Pm2PrY
Source: the Alexandria database
Functional: PBE-GGA
Structure: optimized geometry

Results
density of states at the Fermi level = 1.5050 states/eV/atom
energy = -4.73 eV per atom
total magnetization = 0.00 μB per formula unit
symmetry = C2/c, No. 15

Cell lengths 9.7959, 8.8545, 8.8545 Å; angles 118.39, 94.59, 94.59 degrees
With the nearest neighbours (Å) after each atom.
Fractional coordinates of all 20 atoms:
Tb1 0.5564 0.7459 0.1241  7 Tb 3.41-3.81, 1 Pm 3.49, 1 Y 3.69, 1 Pr 3.79
Tb2 0.4436 0.2541 0.8759  7 Tb 3.41-3.81, 1 Pm 3.49, 1 Y 3.69, 1 Pr 3.79
Tb3 0.3788 0.4988 0.2912  4 Tb 3.25-3.59, 3 Pm 3.29-3.47, 2 Pr 3.47-3.61
Tb4 0.6212 0.5012 0.7088  4 Tb 3.25-3.59, 3 Pm 3.29-3.47, 2 Pr 3.47-3.61
Tb5 0.1212 0.7088 0.5012  4 Tb 3.25-3.59, 3 Pm 3.29-3.47, 2 Pr 3.47-3.61
Tb6 0.8152 0.4220 0.9713  3 Tb 3.25-3.62, 1 Pm 3.41, 1 Pr 3.53, 1 Y 3.62
Tb7 0.6848 0.0287 0.5780  3 Tb 3.25-3.62, 1 Pm 3.41, 1 Pr 3.53, 1 Y 3.62
Tb8 0.0564 0.1241 0.7459  7 Tb 3.41-3.81, 1 Pm 3.49, 1 Y 3.69, 1 Pr 3.79
Tb9 0.3152 0.9713 0.4220  3 Tb 3.25-3.62, 1 Pm 3.41, 1 Pr 3.53, 1 Y 3.62
Tb10 0.9436 0.8759 0.2541  7 Tb 3.41-3.81, 1 Pm 3.49, 1 Y 3.69, 1 Pr 3.79
Tb11 0.8788 0.2912 0.4988  4 Tb 3.25-3.59, 3 Pm 3.29-3.47, 2 Pr 3.47-3.61
Tb12 0.1848 0.5780 0.0287  3 Tb 3.25-3.62, 1 Pm 3.41, 1 Pr 3.53, 1 Y 3.62
Y1 0.2500 0.9812 0.0188  4 Pm 3.36-3.41, 4 Tb 3.62-3.69
Y2 0.7500 0.0188 0.9812  4 Pm 3.36-3.41, 4 Tb 3.62-3.69
Pm1 0.5413 0.1889 0.2951  6 Tb 3.29-3.66, 2 Y 3.36-3.41, 1 Pr 3.64
Pm2 0.0413 0.2951 0.1889  6 Tb 3.29-3.66, 2 Y 3.36-3.41, 1 Pr 3.64
Pm3 0.9587 0.7049 0.8111  6 Tb 3.29-3.66, 2 Y 3.36-3.41, 1 Pr 3.64
Pm4 0.4587 0.8111 0.7049  6 Tb 3.29-3.66, 2 Y 3.36-3.41, 1 Pr 3.64
Pr1 0.2500 0.4050 0.5950  8 Tb 3.47-3.79, 2 Pm 3.64
Pr2 0.7500 0.5950 0.4050  8 Tb 3.47-3.79, 2 Pm 3.64


Compound: Te3Mo
Source: the Alexandria database
Functional: PBE-GGA
Structure: optimized geometry

Results
density of states at the Fermi level = 0.8888 states/eV/atom
energy = -4.84 eV per atom
total magnetization = 0.00 μB per formula unit
formation energy from raw total energies = 87.0 kJ/mol of formula units
symmetry = Immm, No. 71

Cell lengths 7.1497, 7.1497, 7.1497 Å; angles 152.87, 140.20, 48.83 degrees
With the nearest neighbours (Å) after each atom.
Fractional coordinates of all 4 atoms:
Te1 0.3283 0.3283 0.0000  2 Mo 2.79
Te2 0.0000 0.5000 0.5000  4 Mo 2.96, 4 Te 3.30
Te3 0.6717 0.6717 0.0000  2 Mo 2.79
Mo1 0.5000 0.0000 0.5000  8 Te 2.79-2.96


Compound: HfMgPd14
Source: the Alexandria database
Functional: PBE-GGA
Structure: optimized geometry

Results
density of states at the Fermi level = 1.5329 states/eV/atom
energy = -5.61 eV per atom
total magnetization = 0.00 μB per formula unit
symmetry = P4/mmm, No. 123

Cell lengths 5.6396, 5.6396, 7.8797 Å; angles 90.00, 90.00, 90.01 degrees
With the nearest neighbours (Å) after each atom.
Fractional coordinates of all 16 atoms:
Pd1 0.6261 0.8762 0.2485  1 Hf 2.79, 10 Pd 2.79-2.83, 1 Mg 2.80
Pd2 0.3749 0.1248 0.0000  8 Pd 2.79-2.80, 2 Mg 2.82, 2 Hf 2.82
Pd3 0.6261 0.8762 0.7515  1 Hf 2.79, 10 Pd 2.79-2.83, 1 Mg 2.80
Pd4 0.8752 0.6251 0.0000  8 Pd 2.79-2.80, 2 Mg 2.82, 2 Hf 2.82
Pd5 0.3751 0.1250 0.5000  12 Pd 2.81-2.82
Pd6 0.6259 0.3741 0.2486  1 Hf 2.79, 10 Pd 2.80-2.83, 1 Mg 2.80
Pd7 0.8750 0.6249 0.5000  12 Pd 2.81-2.82
Pd8 0.6259 0.3741 0.7514  1 Hf 2.79, 10 Pd 2.80-2.83, 1 Mg 2.80
Pd9 0.1238 0.3739 0.2485  1 Hf 2.79, 10 Pd 2.79-2.83, 1 Mg 2.80
Pd10 0.1238 0.3739 0.7515  1 Hf 2.79, 10 Pd 2.79-2.83, 1 Mg 2.80
Pd11 0.1240 0.8760 0.2485  1 Hf 2.79, 10 Pd 2.79-2.83, 1 Mg 2.80
Pd12 0.8751 0.1249 0.5000  12 Pd 2.80-2.82
Pd13 0.1240 0.8760 0.7515  1 Hf 2.79, 10 Pd 2.79-2.83, 1 Mg 2.80
Pd14 0.3750 0.6250 0.5000  12 Pd 2.82
Mg1 0.3753 0.6247 0.0000  12 Pd 2.80-2.82
Hf1 0.8748 0.1252 0.0000  12 Pd 2.79-2.82